(1)
Material: Li2InPb3
Method: DFT, PBE
State: optimized geometry

Lattice parameters (Å, degrees): 4.9595 14.4275 4.2930 90.00 90.00 90.00
Last column: nearest neighbours and their distance in Å.
Space group Cmmm (No. 65)
Unique sites:
1 Li 0.0000 0.1615 0.0000 x4  8 Pb 3.17-3.28, 2 In 3.40
2 In 0.0000 0.5000 0.0000 x2  8 Pb 3.28-3.30, 4 Li 3.40
3 Pb 0.0000 0.0000 0.5000 x2  4 Li 3.17, 4 In 3.28, 4 Pb 3.53
4 Pb 0.0000 0.3260 0.5000 x4  6 Li 3.20-3.28, 2 In 3.30, 4 Pb 3.31-3.53

Output
VASP energy: -37.2 eV/cell
Calculated density: 8112 kg/m3
DOS at the Fermi energy: 0.43 states/eV per atom

(2)
Material: Li2InPb6
Method: DFT, PBE
State: optimized geometry

Lattice parameters (Å, degrees): 6.2785 6.2785 14.2001 90.00 90.00 90.00
Last column: nearest neighbours and their distance in Å.
Space group P4_2/mnm (No. 136)
Unique sites:
1 Li 0.0000 0.0000 0.1627 x4  6 Pb 2.71-2.79
2 In 0.0000 0.0000 0.5000 x2  6 Pb 2.88-3.14
3 Pb 0.1755 0.1755 0.0000 x4  2 Li 2.79, 1 In 2.88, 1 Pb 3.12
4 Pb 0.1965 0.1965 0.3164 x8  2 Li 2.71-2.79

Output
VASP energy: -54.1 eV/cell
Calculated density: 8140 kg/m3
DOS at the Fermi energy: 0.51 states/eV per atom

(3)
Material: LiIn2Pb
Method: DFT, PBE
State: optimized geometry

Lattice parameters (Å, degrees): 4.5717 4.5717 9.7073 90.00 90.00 90.00
Last column: nearest neighbours and their distance in Å.
Space group I4/mmm (No. 139)
Unique sites:
1 Li 0.0000 0.0000 0.0000 x2  4 Pb 3.23, 8 In 3.33
2 In 0.0000 0.5000 0.2500 x4  4 In 3.23, 4 Li 3.33, 4 Pb 3.33
3 Pb 0.0000 0.0000 0.5000 x2  4 Li 3.23, 8 In 3.33

Output
VASP energy: -23.1 eV/cell
Calculated density: 7264 kg/m3
DOS at the Fermi energy: 0.37 states/eV per atom

(4)
Material: LiIn2Pb
Method: DFT, PBE
State: optimized geometry

Lattice parameters (Å, degrees): 4.7392 4.7392 9.0958 90.00 90.00 90.00
Last column: nearest neighbours and their distance in Å.
Space group I-4m2 (No. 119)
Unique sites:
1 Li 0.0000 0.0000 0.0000 x2  8 In 3.28-3.35, 4 Pb 3.28
2 In 0.0000 0.0000 0.5000 x2  4 In 3.28, 4 Pb 3.28, 4 Li 3.35
3 In 0.0000 0.5000 0.7500 x2  4 In 3.28, 4 Li 3.28, 4 Pb 3.35
4 Pb 0.0000 0.5000 0.2500 x2  8 In 3.28-3.35, 4 Li 3.28

Output
VASP energy: -23.1 eV/cell
Calculated density: 7214 kg/m3
DOS at the Fermi energy: 0.45 states/eV per atom

(5)
Material: LiIn7Pb12
Method: DFT, PBE
State: optimized geometry

Lattice parameters (Å, degrees): 6.2015 9.0616 11.7192 68.08 77.34 82.41
Last column: nearest neighbours and their distance in Å.
Space group P-1 (No. 2)
Unique sites:
1 Li 0.0000 0.0000 0.0000 x1  8 In 2.96-3.29
2 In 0.1562 0.8019 0.2706 x2  1 Li 3.29, 3 In 3.37-3.50, 6 Pb 3.43-3.67
3 In 0.2218 0.3111 0.8599 x2  1 Li 3.02, 4 Pb 3.17-3.30, 1 In 3.18
4 In 0.3169 0.9748 0.7777 x2  1 Li 2.96, 1 In 3.15, 2 Pb 3.19-3.24
5 In 0.5000 0.0000 0.0000 x1  2 Li 3.10, 6 In 3.15-3.41, 2 Pb 3.47
6 Pb 0.0056 0.6188 0.5922 x2  9 Pb 3.42-3.74, 3 In 3.47-3.72
7 Pb 0.1354 0.2204 0.1655 x2  4 In 3.30-3.56, 3 Pb 3.50-3.64, 1 Li 3.54
8 Pb 0.2656 0.9990 0.4601 x2  5 Pb 3.22-3.54, 2 In 3.32-3.54
9 Pb 0.3043 0.6393 0.0405 x2  5 In 3.25-3.53, 3 Pb 3.45-3.56, 1 Li 3.48
10 Pb 0.4066 0.3228 0.5743 x2  3 In 3.19-3.43, 5 Pb 3.26-3.44
11 Pb 0.4466 0.6427 0.7284 x2  2 In 3.17-3.24, 4 Pb 3.37-3.52

Output
VASP energy: -65.2 eV/cell
Calculated density: 9198 kg/m3
DOS at the Fermi energy: 0.45 states/eV per atom

(6)
Material: LiIn3Pb2
Method: DFT, PBE
State: optimized geometry

Lattice parameters (Å, degrees): 5.7504 7.5317 8.4079 68.29 89.26 74.23
Last column: nearest neighbours and their distance in Å.
Space group P-1 (No. 2)
Unique sites:
1 Li 0.1465 0.3600 0.3671 x2  6 In 3.14-3.46, 5 Pb 3.25-3.40
2 In 0.0224 0.1548 0.7571 x2  2 Li 3.23-3.26, 4 Pb 3.24-3.40, 4 In 3.26-3.39
3 In 0.2908 0.8920 0.5392 x2  3 Li 3.14-3.46, 6 In 3.19-3.37, 2 Pb 3.34-3.41
4 In 0.3843 0.1096 0.1288 x2  6 In 3.25-3.63, 5 Pb 3.26-3.62, 1 Li 3.28
5 Pb 0.1932 0.6497 0.9548 x2  6 In 3.26-3.62, 2 Li 3.39-3.40, 4 Pb 3.44-3.55
6 Pb 0.4265 0.3953 0.6964 x2  6 In 3.24-3.52, 3 Li 3.25-3.38, 3 Pb 3.30-3.54

Output
VASP energy: -35.8 eV/cell
Calculated density: 7849 kg/m3
DOS at the Fermi energy: 0.43 states/eV per atom

(7)
Material: Li3In2Pb3
Method: DFT, PBE
State: optimized geometry

Lattice parameters (Å, degrees): 15.4174 4.9108 5.6786 90.00 109.30 90.00
Last column: nearest neighbours and their distance in Å.
Space group C2/m (No. 12)
Unique sites:
1 Li 0.0000 0.0000 0.0000 x2  4 Pb 3.07, 2 Li 3.19
2 Li 0.1253 0.0000 0.6523 x4  3 In 3.01-3.33, 2 Pb 3.07, 1 Li 3.19
3 In 0.2438 0.5000 0.7105 x4  3 Li 3.01-3.33, 4 Pb 3.12-3.32
4 Pb 0.0000 0.5000 0.5000 x2  4 Li 3.07, 4 Pb 3.34-3.42
5 Pb 0.1262 0.5000 0.1043 x4  2 Li 3.07, 4 In 3.12-3.32, 2 Pb 3.34-3.42

Output
VASP energy: -46.7 eV/cell
Calculated density: 7138 kg/m3
DOS at the Fermi energy: 0.32 states/eV per atom

(8)
Material: LiInPb2
Method: DFT, PBE
State: optimized geometry

Lattice parameters (Å, degrees): 7.6391 7.6391 7.6391 90.00 90.00 90.00
Last column: nearest neighbours and their distance in Å.
Space group F-43m (No. 216)
Unique sites:
1 Li 0.0000 0.0000 0.0000 x4  4 In 3.31, 4 Pb 3.31
2 In 0.2500 0.2500 0.7500 x4  4 Li 3.31, 4 Pb 3.31
3 Pb 0.0000 0.0000 0.5000 x4  4 In 3.31, 4 Pb 3.31
4 Pb 0.2500 0.2500 0.2500 x4  4 Pb 3.31, 4 Li 3.31

Output
VASP energy: -49.7 eV/cell
Calculated density: 7989 kg/m3
DOS at the Fermi energy: 0.13 states/eV per atom

(9)
Material: LiInPb2
Method: DFT, PBE
State: optimized geometry

Lattice parameters (Å, degrees): 4.8231 4.8231 4.6121 90.00 90.00 90.00
Last column: nearest neighbours and their distance in Å.
Space group P4/mmm (No. 123)
Unique sites:
1 Li 0.0000 0.0000 0.0000 x1  8 Pb 3.34, 4 In 3.41
2 In 0.5000 0.5000 0.0000 x1  8 Pb 3.34, 4 Li 3.41
3 Pb 0.0000 0.5000 0.5000 x2  4 In 3.34, 4 Li 3.34, 4 Pb 3.41

Output
VASP energy: -12.6 eV/cell
Calculated density: 8298 kg/m3
DOS at the Fermi energy: 0.38 states/eV per atom

(10)
Material: Li8In2Pb
Method: DFT, PBE
State: optimized geometry

Lattice parameters (Å, degrees): 14.1829 4.7612 7.3984 90.00 121.41 90.00
Last column: nearest neighbours and their distance in Å.
Space group C2/m (No. 12)
Unique sites:
1 Li 0.0008 0.0000 0.2055 x4  7 Li 2.82-3.03, 2 In 2.93
2 Li 0.1416 0.5000 0.9455 x4  1 Pb 2.83, 3 In 2.89, 4 Li 2.91-2.94
3 Li 0.1434 0.5000 0.3409 x4  1 Pb 2.83, 3 In 2.89-2.90, 4 Li 2.91-2.94
4 Li 0.1483 0.0000 0.6498 x4  4 Li 2.82-2.92, 2 In 2.95, 2 Pb 2.98
5 In 0.2073 0.0000 0.2058 x4  10 Li 2.89-2.95
6 Pb 0.0000 0.5000 0.5000 x2  8 Li 2.83-2.98

Output
VASP energy: -54.1 eV/cell
Calculated density: 3835 kg/m3
DOS at the Fermi energy: 0.37 states/eV per atom